Here is YFe4Ni8 after structural relaxation from Alexandria via LeMat-Bulk. Energies are from PBE-GGA.

E_form, meV/atom: -110
E_tot, eV/atom: -6.769
Size of the total moment, μB per formula unit: 13.9

a = 6.3317 Å, b = 6.3317 Å, c = 6.3317 Å
α = 97.95°, β = 97.95°, γ = 136.32°
With the nearest neighbours (Å) after each atom.
Atoms (fractional coordinates):
1 Y 0.0000 0.0000 0.0000  12 Ni 2.94-3.00, 8 Fe 3.17
2 Fe 0.0000 0.0000 0.5000  2 Fe 2.36, 8 Ni 2.40-2.54
3 Fe 0.0000 0.5000 0.0000  2 Fe 2.36, 8 Ni 2.40-2.54
4 Fe 0.5000 0.0000 0.0000  2 Fe 2.36, 8 Ni 2.40-2.54
5 Fe 0.5000 0.5000 0.5000  2 Fe 2.36, 8 Ni 2.40-2.54
6 Ni 0.0000 0.3532 0.3532  5 Ni 2.44-2.60, 4 Fe 2.54
7 Ni 0.0000 0.6468 0.6468  5 Ni 2.44-2.60, 4 Fe 2.54
8 Ni 0.2762 0.5000 0.7762  4 Fe 2.40, 6 Ni 2.59-2.63
9 Ni 0.3532 0.0000 0.3532  5 Ni 2.44-2.60, 4 Fe 2.54
10 Ni 0.5000 0.2762 0.7762  4 Fe 2.40, 6 Ni 2.59-2.63
11 Ni 0.5000 0.7238 0.2238  4 Fe 2.40, 6 Ni 2.59-2.63
12 Ni 0.6468 0.0000 0.6468  5 Ni 2.44-2.60, 4 Fe 2.54
13 Ni 0.7238 0.5000 0.2238  4 Fe 2.40, 6 Ni 2.59-2.63


Here is YFeNi2 after structural relaxation from Alexandria via LeMat-Bulk. Energies are from PBE-GGA.

E_form, meV/atom: -145
E_tot, eV/atom: -6.768
Size of the total moment, μB per formula unit: 2.6

a = 4.0225 Å, b = 4.0225 Å, c = 14.2325 Å
α = 90.00°, β = 90.00°, γ = 120.00°
With the nearest neighbours (Å) after each atom.
Atoms (fractional coordinates):
1 Y 0.0000 0.0000 0.0000  4 Fe 2.74-3.07, 4 Ni 2.82-3.02
2 Y 0.3333 0.6667 0.6667  4 Fe 2.74-3.07, 4 Ni 2.82-3.02
3 Y 0.6667 0.3333 0.3333  4 Fe 2.74-3.07, 4 Ni 2.82-3.02
4 Fe 0.0000 0.0000 0.1928  6 Ni 2.33-2.46
5 Fe 0.3333 0.6667 0.8594  6 Ni 2.33-2.46
6 Fe 0.6667 0.3333 0.5261  6 Ni 2.33-2.46
7 Ni 0.0000 0.0000 0.5182  3 Fe 2.33, 3 Ni 2.43
8 Ni 0.0000 0.0000 0.8020  3 Ni 2.43, 3 Fe 2.46
9 Ni 0.3333 0.6667 0.1849  3 Fe 2.33, 3 Ni 2.43
10 Ni 0.3333 0.6667 0.4687  3 Ni 2.43, 3 Fe 2.46
11 Ni 0.6667 0.3333 0.1354  3 Ni 2.43, 3 Fe 2.46
12 Ni 0.6667 0.3333 0.8516  3 Fe 2.33, 3 Ni 2.43


Here is YFe4Ni after structural relaxation from Alexandria via LeMat-Bulk. Energies are from PBE-GGA.

E_form, meV/atom: 48
E_tot, eV/atom: -7.635
Size of the total moment, μB per formula unit: 9.8

a = 4.9388 Å, b = 4.9388 Å, c = 4.9388 Å
α = 60.00°, β = 60.00°, γ = 60.00°
With the nearest neighbours (Å) after each atom.
Atoms (fractional coordinates):
1 Y 0.0000 0.0000 0.0000  12 Fe 2.90, 4 Ni 3.02
2 Fe 0.1267 0.6244 0.6244  6 Fe 2.46-2.48
3 Fe 0.6244 0.1267 0.6244  6 Fe 2.46-2.48
4 Fe 0.6244 0.6244 0.1267  6 Fe 2.46-2.48
5 Fe 0.6244 0.6244 0.6244  6 Fe 2.46-2.48
6 Ni 0.2500 0.2500 0.2500  12 Fe 2.89, 4 Y 3.02


Here is YFe2Ni after structural relaxation from Alexandria via LeMat-Bulk. Energies are from PBE-GGA.

E_form, meV/atom: 331
E_tot, eV/atom: -6.961
Size of the total moment, μB per formula unit: 4.8

a = 5.2099 Å, b = 8.9731 Å, c = 2.9170 Å
α = 90.00°, β = 116.05°, γ = 90.00°
With the nearest neighbours (Å) after each atom.
Atoms (fractional coordinates):
1 Y 0.0000 0.0000 0.0000  2 Ni 2.60, 4 Fe 2.68, 2 Y 2.92
2 Y 0.5000 0.5000 0.0000  2 Ni 2.60, 4 Fe 2.68, 2 Y 2.92
3 Fe 0.2500 0.2500 0.5000  4 Fe 2.60-2.92, 2 Ni 2.68, 2 Y 2.68
4 Fe 0.2500 0.7500 0.5000  4 Fe 2.60-2.92, 2 Ni 2.68, 2 Y 2.68
5 Fe 0.7500 0.2500 0.5000  4 Fe 2.60-2.92, 2 Ni 2.68, 2 Y 2.68
6 Fe 0.7500 0.7500 0.5000  4 Fe 2.60-2.92, 2 Ni 2.68, 2 Y 2.68
7 Ni 0.0000 0.5000 0.0000  2 Y 2.60, 4 Fe 2.68, 2 Ni 2.92
8 Ni 0.5000 0.0000 0.0000  2 Y 2.60, 4 Fe 2.68, 2 Ni 2.92


Here is YFeNi after structural relaxation from Alexandria via LeMat-Bulk. Energies are from PBE-GGA.

E_form, meV/atom: -136
E_tot, eV/atom: -7.039
Size of the total moment, μB per formula unit: 2.6

a = 3.8339 Å, b = 3.8339 Å, c = 14.3113 Å
α = 90.00°, β = 90.00°, γ = 90.00°
With the nearest neighbours (Å) after each atom.
Atoms (fractional coordinates):
1 Y 0.0000 0.0000 0.1658  4 Ni 2.83, 4 Fe 3.05
2 Y 0.0000 0.0000 0.8342  4 Ni 2.83, 4 Fe 3.05
3 Y 0.5000 0.5000 0.3342  4 Ni 2.83, 4 Fe 3.05
4 Y 0.5000 0.5000 0.6658  4 Ni 2.83, 4 Fe 3.05
5 Fe 0.0000 0.5000 0.0000  4 Ni 2.48, 4 Fe 2.71
6 Fe 0.0000 0.5000 0.5000  4 Ni 2.48, 4 Fe 2.71
7 Fe 0.5000 0.0000 0.0000  4 Ni 2.48, 4 Fe 2.71
8 Fe 0.5000 0.0000 0.5000  4 Ni 2.48, 4 Fe 2.71
9 Ni 0.0000 0.0000 0.3900  4 Fe 2.48
10 Ni 0.0000 0.0000 0.6100  4 Fe 2.48
11 Ni 0.5000 0.5000 0.1100  4 Fe 2.48
12 Ni 0.5000 0.5000 0.8900  4 Fe 2.48


Here is YFe2Ni after structural relaxation from Alexandria via LeMat-Bulk. Energies are from PBE-GGA.

E_form, meV/atom: 93
E_tot, eV/atom: -7.200
Size of the total moment, μB per formula unit: 5.4

a = 3.1371 Å, b = 3.1642 Å, c = 6.2695 Å
α = 90.00°, β = 90.00°, γ = 90.00°
With the nearest neighbours (Å) after each atom.
Atoms (fractional coordinates):
1 Y 0.0000 0.0000 0.0000  4 Ni 2.87, 6 Fe 2.96-3.15, 4 Y 3.14-3.16
2 Fe 0.0000 0.0000 0.4981  4 Fe 2.52, 4 Ni 2.59
3 Fe 0.5000 0.5000 0.3118  1 Ni 2.50, 4 Fe 2.52
4 Ni 0.5000 0.5000 0.7102  5 Fe 2.50-2.59


Here is YFeNi2 after structural relaxation from Alexandria via LeMat-Bulk. Energies are from PBE-GGA.

E_form, meV/atom: 216
E_tot, eV/atom: -6.406
Size of the total moment, μB per formula unit: 2.8

a = 4.3569 Å, b = 4.3569 Å, c = 15.6391 Å
α = 90.00°, β = 90.00°, γ = 90.00°
With the nearest neighbours (Å) after each atom.
Atoms (fractional coordinates):
1 Y 0.0000 0.0000 0.0000  4 Ni 2.90, 4 Fe 3.08
2 Y 0.0000 0.5000 0.2500  4 Ni 2.90, 4 Fe 3.08
3 Y 0.5000 0.0000 0.7500  4 Ni 2.90, 4 Fe 3.08
4 Y 0.5000 0.5000 0.5000  4 Ni 2.90, 4 Fe 3.08
5 Fe 0.0000 0.0000 0.5000  4 Ni 2.26
6 Fe 0.0000 0.5000 0.7500  4 Ni 2.26
7 Fe 0.5000 0.0000 0.2500  4 Ni 2.26
8 Fe 0.5000 0.5000 0.0000  4 Ni 2.26
9 Ni 0.0757 0.2500 0.6250  2 Fe 2.26, 2 Ni 2.28
10 Ni 0.2500 0.5757 0.8750  2 Fe 2.26, 2 Ni 2.28
11 Ni 0.2500 0.9243 0.3750  2 Fe 2.26, 2 Ni 2.28
12 Ni 0.4243 0.2500 0.1250  2 Fe 2.26, 2 Ni 2.28
13 Ni 0.5757 0.7500 0.1250  2 Fe 2.26, 2 Ni 2.28
14 Ni 0.7500 0.0757 0.3750  2 Fe 2.26, 2 Ni 2.28
15 Ni 0.7500 0.4243 0.8750  2 Fe 2.26, 2 Ni 2.28
16 Ni 0.9243 0.7500 0.6250  2 Fe 2.26, 2 Ni 2.28


Here is YFeNi2 after structural relaxation from Alexandria via LeMat-Bulk. Energies are from PBE-GGA.

E_form, meV/atom: 22
E_tot, eV/atom: -6.601
Size of the total moment, μB per formula unit: 3.1

a = 4.1114 Å, b = 4.1114 Å, c = 7.1895 Å
α = 90.00°, β = 90.00°, γ = 90.00°
With the nearest neighbours (Å) after each atom.
Atoms (fractional coordinates):
1 Y 0.0000 0.0000 0.0000  8 Ni 2.73, 4 Fe 2.91
2 Y 0.5000 0.5000 0.5000  8 Ni 2.73, 4 Fe 2.91
3 Fe 0.0000 0.0000 0.5000  8 Ni 2.73, 4 Y 2.91
4 Fe 0.5000 0.5000 0.0000  8 Ni 2.73, 4 Y 2.91
5 Ni 0.0000 0.5000 0.2500  4 Fe 2.73, 4 Y 2.73, 4 Ni 2.91
6 Ni 0.0000 0.5000 0.7500  4 Fe 2.73, 4 Y 2.73, 4 Ni 2.91
7 Ni 0.5000 0.0000 0.2500  4 Fe 2.73, 4 Y 2.73, 4 Ni 2.91
8 Ni 0.5000 0.0000 0.7500  4 Fe 2.73, 4 Y 2.73, 4 Ni 2.91


Here is YFeNi2 after structural relaxation from Alexandria via LeMat-Bulk. Energies are from PBE-GGA.

E_form, meV/atom: -40
E_tot, eV/atom: -6.663
Size of the total moment, μB per formula unit: 3.6

a = 3.1116 Å, b = 3.1116 Å, c = 6.3256 Å
α = 90.00°, β = 90.00°, γ = 90.00°
With the nearest neighbours (Å) after each atom.
Atoms (fractional coordinates):
1 Y 0.0000 0.0000 0.0000  8 Ni 2.93, 4 Y 3.11, 2 Fe 3.16
2 Fe 0.0000 0.0000 0.5000  8 Ni 2.52
3 Ni 0.5000 0.5000 0.3058  1 Ni 2.46, 4 Fe 2.52
4 Ni 0.5000 0.5000 0.6942  1 Ni 2.46, 4 Fe 2.52


Here is YFe2Ni after structural relaxation from Alexandria via LeMat-Bulk. Energies are from PBE-GGA.

E_form, meV/atom: 461
E_tot, eV/atom: -6.832
Size of the total moment, μB per formula unit: 5.3

a = 3.1865 Å, b = 3.1865 Å, c = 22.6327 Å
α = 90.00°, β = 90.00°, γ = 120.00°
With the nearest neighbours (Å) after each atom.
Atoms (fractional coordinates):
1 Y 0.0000 0.0000 0.0000  3 Ni 2.78, 3 Fe 2.91
2 Y 0.3333 0.6667 0.6667  3 Ni 2.78, 3 Fe 2.91
3 Y 0.6667 0.3333 0.3333  3 Ni 2.78, 3 Fe 2.91
4 Fe 0.0000 0.0000 0.5041  3 Ni 2.44, 3 Fe 2.44
5 Fe 0.0000 0.0000 0.7666  3 Fe 2.44
6 Fe 0.3333 0.6667 0.1708  3 Ni 2.44, 3 Fe 2.44
7 Fe 0.3333 0.6667 0.4332  3 Fe 2.44
8 Fe 0.6667 0.3333 0.0999  3 Fe 2.44
9 Fe 0.6667 0.3333 0.8375  3 Ni 2.44, 3 Fe 2.44
10 Ni 0.0000 0.0000 0.2415  3 Fe 2.44
11 Ni 0.3333 0.6667 0.9081  3 Fe 2.44
12 Ni 0.6667 0.3333 0.5748  3 Fe 2.44


Here is YFeNi after structural relaxation from Alexandria via LeMat-Bulk. Energies are from PBE-GGA.

E_form, meV/atom: -137
E_tot, eV/atom: -7.040
Size of the total moment, μB per formula unit: 2.4

a = 3.9608 Å, b = 3.9608 Å, c = 3.9892 Å
α = 90.00°, β = 90.00°, γ = 120.00°
With the nearest neighbours (Å) after each atom.
Atoms (fractional coordinates):
1 Y 0.0000 0.0000 0.0000  6 Ni 3.03, 6 Fe 3.03
2 Fe 0.6667 0.3333 0.5000  3 Ni 2.29
3 Ni 0.3333 0.6667 0.5000  3 Fe 2.29


Here is Y3FeNi8 after structural relaxation from Alexandria via LeMat-Bulk. Energies are from PBE-GGA.

E_form, meV/atom: -297
E_tot, eV/atom: -6.473
Size of the total moment, μB per formula unit: 4.3

a = 8.6434 Å, b = 8.6434 Å, c = 8.6434 Å
α = 33.57°, β = 33.57°, γ = 33.57°
With the nearest neighbours (Å) after each atom.
Atoms (fractional coordinates):
1 Y 0.0000 0.0000 0.0000  12 Ni 2.93-2.98, 4 Y 3.17-3.18
2 Y 0.1298 0.1298 0.1298  12 Ni 2.77-2.98, 3 Fe 2.94
3 Y 0.6116 0.6116 0.6116  9 Ni 2.80-2.99, 1 Fe 3.06
4 Fe 0.4866 0.4866 0.4866  6 Ni 2.63-2.89, 3 Y 2.94
5 Ni 0.0584 0.0584 0.5624  6 Ni 2.45-2.53
6 Ni 0.0584 0.5624 0.0584  6 Ni 2.45-2.53
7 Ni 0.0652 0.5619 0.5619  6 Ni 2.48-2.53, 1 Fe 2.63
8 Ni 0.3111 0.3111 0.3111  6 Ni 2.53
9 Ni 0.5624 0.0584 0.0584  6 Ni 2.45-2.53
10 Ni 0.5619 0.0652 0.5619  6 Ni 2.48-2.53, 1 Fe 2.63
11 Ni 0.5619 0.5619 0.0652  6 Ni 2.48-2.53, 1 Fe 2.63
12 Ni 0.8118 0.8118 0.8118  6 Ni 2.45-2.48


Here is YFe2Ni after structural relaxation from Alexandria via LeMat-Bulk. Energies are from PBE-GGA.

E_form, meV/atom: 152
E_tot, eV/atom: -7.140
Size of the total moment, μB per formula unit: 4.6

a = 3.7315 Å, b = 3.8434 Å, c = 4.2503 Å
α = 90.00°, β = 90.00°, γ = 90.00°
With the nearest neighbours (Å) after each atom.
Atoms (fractional coordinates):
1 Y 0.0000 0.0000 0.0000  4 Ni 2.68, 8 Fe 2.83-2.87
2 Fe 0.0000 0.5000 0.5000  4 Fe 2.68, 4 Ni 2.83, 4 Y 2.87
3 Fe 0.5000 0.0000 0.5000  4 Fe 2.68, 4 Y 2.83, 4 Ni 2.87
4 Ni 0.5000 0.5000 0.0000  4 Y 2.68, 8 Fe 2.83-2.87


Here is YFeNi after structural relaxation from Alexandria via LeMat-Bulk. Energies are from PBE-GGA.

E_form, meV/atom: 205
E_tot, eV/atom: -6.698
Size of the total moment, μB per formula unit: 2.8

a = 6.1535 Å, b = 6.1535 Å, c = 6.1535 Å
α = 90.00°, β = 90.00°, γ = 90.00°
With the nearest neighbours (Å) after each atom.
Atoms (fractional coordinates):
1 Y 0.0000 0.0000 0.0000  4 Ni 2.66
2 Y 0.0000 0.5000 0.5000  4 Ni 2.66
3 Y 0.5000 0.0000 0.5000  4 Ni 2.66
4 Y 0.5000 0.5000 0.0000  4 Ni 2.66
5 Fe 0.0000 0.0000 0.5000  4 Ni 2.66
6 Fe 0.0000 0.5000 0.0000  4 Ni 2.66
7 Fe 0.5000 0.0000 0.0000  4 Ni 2.66
8 Fe 0.5000 0.5000 0.5000  4 Ni 2.66
9 Ni 0.2500 0.2500 0.7500  4 Fe 2.66, 4 Y 2.66
10 Ni 0.2500 0.7500 0.2500  4 Fe 2.66, 4 Y 2.66
11 Ni 0.7500 0.2500 0.2500  4 Fe 2.66, 4 Y 2.66
12 Ni 0.7500 0.7500 0.7500  4 Fe 2.66, 4 Y 2.66


Here is YFeNi after structural relaxation from Alexandria via LeMat-Bulk. Energies are from PBE-GGA.

E_form, meV/atom: 49
E_tot, eV/atom: -6.854
Size of the total moment, μB per formula unit: 2.9

a = 3.1805 Å, b = 3.1805 Å, c = 10.1329 Å
α = 90.00°, β = 90.00°, γ = 90.00°
With the nearest neighbours (Å) after each atom.
Atoms (fractional coordinates):
1 Y 0.0000 0.0000 0.0000  5 Ni 3.02-3.05, 5 Fe 3.02-3.04, 4 Y 3.18
2 Y 0.5000 0.5000 0.5000  5 Ni 3.02-3.05, 5 Fe 3.02-3.04, 4 Y 3.18
3 Fe 0.0000 0.0000 0.7018  4 Ni 2.46
4 Fe 0.5000 0.5000 0.2018  4 Ni 2.46
5 Ni 0.0000 0.0000 0.3012  4 Fe 2.46
6 Ni 0.5000 0.5000 0.8012  4 Fe 2.46